{
  "formula": "SrAl2H6",
  "functional": "PBE",
  "state": "optimized geometry",
  "lattice_angstrom": [[4.563, 0.000, 2.635], [1.521, 4.302, 2.635], [0.000, 0.000, 5.269]],
  "species": ["Sr", "Al", "H", "H", "H", "H", "H", "H", "Al"],
  "fractional_positions": [[0.000, 0.000, 0.000], [0.750, 0.750, 0.750], [0.707, 0.293, 0.293], [0.707, 0.293, 0.707], [0.293, 0.707, 0.707], [0.707, 0.707, 0.293], [0.293, 0.707, 0.293], [0.293, 0.293, 0.707], [0.250, 0.250, 0.250]],
  "total_energy_ev_per_atom": -2.44,
  "crystal_system": "cubic"
}